(1)
The following is a PBE calculation of a relaxed TiGaHgBr6 crystal, from Alexandria.

a b c (Å): 7.1676 7.1676 6.5725
angles (deg): 90.03 89.97 59.93
Closest atoms and distances in Å follow each position.
Fractional coordinates of all 9 atoms:
Br (0.6200, 0.3443, 0.7276)  1 Ti 2.57
Br (0.6203, 0.0352, 0.2721)  1 Ti 2.58
Br (0.0352, 0.6204, 0.7279)  1 Ti 2.58
Br (0.3444, 0.0358, 0.7276)  1 Ti 2.58
Br (0.3443, 0.6201, 0.2724)  1 Ti 2.57
Br (0.0358, 0.3445, 0.2723)  1 Ti 2.58
Ga (0.9998, 0.9998, 0.0000)  6 Br 3.16
Hg (0.6665, 0.6665, 0.5000)  6 Br 2.91
Ti (0.3334, 0.3335, 0.5000)  6 Br 2.57-2.58

Raw formation energy in meV/atom: -774
SG: C2, No. 5
Crystal system: monoclinic

=====

(2)
The following is a PBE calculation of a relaxed TlGaHgBr2 crystal, from Alexandria.

a b c (Å): 5.7469 5.7469 5.2386
angles (deg): 90.00 90.00 90.00
Closest atoms and distances in Å follow each position.
Fractional coordinates of all 5 atoms:
Br (0.5000, 0.0000, 0.0000)  2 Ga 2.87
Br (0.0000, 0.5000, 0.0000)  2 Ga 2.87
Hg (0.0000, 0.0000, 0.5000)  2 Ga 2.62
Tl (0.5000, 0.5000, 0.5000)  8 Br 3.89, 4 Hg 4.06
Ga (0.0000, 0.0000, 0.0000)  2 Hg 2.62, 4 Br 2.87

Raw formation energy in meV/atom: -454
SG: P4/mmm, No. 123
Crystal system: tetragonal

=====

(3)
The following is a PBE calculation of a relaxed Tl2Ga2HgBr6 crystal, from Alexandria.

a b c (Å): 7.6759 8.2071 9.3181
angles (deg): 121.72 100.71 66.49
Closest atoms and distances in Å follow each position.
Fractional coordinates of all 11 atoms:
Tl (0.7499, 0.3442, 0.7812)  6 Br 3.31-3.57, 1 Hg 3.63
Tl (0.2501, 0.6558, 0.2188)  6 Br 3.31-3.57, 1 Hg 3.63
Br (0.8684, 0.1309, 0.3503)  1 Ga 2.41
Br (0.0970, 0.5249, 0.8135)  1 Ga 2.43
Br (0.1316, 0.8691, 0.6497)  1 Ga 2.41
Br (0.4349, 0.8046, 0.0191)  1 Ga 2.44
Br (0.9030, 0.4751, 0.1865)  1 Ga 2.43
Br (0.5651, 0.1954, 0.9809)  1 Ga 2.44
Hg (0.5000, 0.0000, 0.5000)  2 Tl 3.63, 4 Br 3.89-4.02
Ga (0.1216, 0.8496, 0.8966)  3 Br 2.41-2.44, 1 Ga 2.44
Ga (0.8784, 0.1504, 0.1034)  3 Br 2.41-2.44, 1 Ga 2.44

Raw formation energy in meV/atom: -738
SG: P-1, No. 2
Crystal system: triclinic

=====

(4)
The following is a PBE calculation of a relaxed TlGaHgBr4 crystal, from Alexandria.

a b c (Å): 9.3082 9.3082 8.6072
angles (deg): 68.56 68.56 65.59
Closest atoms and distances in Å follow each position.
Fractional coordinates of all 14 atoms:
Hg (0.0642, 0.0642, 0.1265)  1 Tl 3.45, 1 Hg 3.55, 3 Br 3.55-3.73
Hg (0.9358, 0.9358, 0.8735)  1 Tl 3.45, 1 Hg 3.55, 3 Br 3.55-3.73
Br (0.8295, 0.8295, 0.4628)  1 Ga 2.36
Br (0.8605, 0.4862, 0.8922)  1 Ga 2.38
Br (0.4406, 0.4406, 0.3656)  1 Ga 2.37
Br (0.5138, 0.1395, 0.1078)  1 Ga 2.38
Br (0.1395, 0.5138, 0.1078)  1 Ga 2.38
Br (0.4862, 0.8605, 0.8922)  1 Ga 2.38
Br (0.1705, 0.1705, 0.5372)  1 Ga 2.36
Br (0.5594, 0.5594, 0.6344)  1 Ga 2.37
Ga (0.3144, 0.3144, 0.2838)  4 Br 2.36-2.38
Ga (0.6856, 0.6856, 0.7162)  4 Br 2.36-2.38
Tl (0.7090, 0.7090, 0.2046)  7 Br 3.41-3.81, 1 Hg 3.45
Tl (0.2910, 0.2910, 0.7954)  7 Br 3.41-3.81, 1 Hg 3.45

Raw formation energy in meV/atom: -733
SG: C2/m, No. 12
Crystal system: monoclinic

=====

(5)
The following is a PBE calculation of a relaxed TlGa2HgBr8 crystal, from Alexandria.

a b c (Å): 6.9864 6.9864 10.4846
angles (deg): 90.00 90.00 120.00
Closest atoms and distances in Å follow each position.
Fractional coordinates of all 12 atoms:
Br (0.0141, 0.3400, 0.7026)  1 Ga 2.37
Br (0.3400, 0.3259, 0.2974)  1 Ga 2.37
Br (0.6667, 0.3333, 0.0023)  1 Ga 2.36
Br (0.9859, 0.6600, 0.2974)  1 Ga 2.37
Br (0.3333, 0.6667, 0.9977)  1 Ga 2.36
Br (0.6741, 0.0141, 0.2974)  1 Ga 2.37
Br (0.3259, 0.9859, 0.7026)  1 Ga 2.37
Br (0.6600, 0.6741, 0.7026)  1 Ga 2.37
Ga (0.3333, 0.6667, 0.7729)  4 Br 2.36-2.37
Ga (0.6667, 0.3333, 0.2271)  4 Br 2.36-2.37
Hg (0.0000, 0.0000, 0.5000)  6 Br 3.15
Tl (0.0000, 0.0000, 0.0000)  12 Br 3.89-4.03

Raw formation energy in meV/atom: -707
SG: P-3, No. 147
Crystal system: trigonal

=====

(6)
The following is a PBE calculation of a relaxed TlGa2Hg2Br6 crystal, from Alexandria.

a b c (Å): 7.9097 7.9097 9.8065
angles (deg): 66.22 66.22 60.00
Closest atoms and distances in Å follow each position.
Fractional coordinates of all 11 atoms:
Hg (0.7926, 0.7926, 0.6221)  9 Br 3.84-4.07
Hg (0.2074, 0.2074, 0.3779)  9 Br 3.84-4.07
Br (0.2463, 0.7430, 0.2677)  1 Ga 2.39
Br (0.7537, 0.2570, 0.7323)  1 Ga 2.39
Br (0.2570, 0.7537, 0.7323)  1 Ga 2.39
Br (0.2570, 0.2570, 0.7323)  1 Ga 2.39
Br (0.7430, 0.7430, 0.2677)  1 Ga 2.39
Br (0.7430, 0.2463, 0.2677)  1 Ga 2.39
Ga (0.4515, 0.4515, 0.6456)  3 Br 2.39, 1 Ga 2.53
Ga (0.5485, 0.5485, 0.3544)  3 Br 2.39, 1 Ga 2.53
Tl (0.0000, 0.0000, 0.0000)  6 Br 3.27

Raw formation energy in meV/atom: -534
SG: R-3m, No. 166
Crystal system: trigonal

=====

(7)
The following is a PBE calculation of a relaxed TlGaHg2Br4 crystal, from Alexandria.

a b c (Å): 8.2964 7.5679 14.0446
angles (deg): 80.68 72.82 56.76
Closest atoms and distances in Å follow each position.
Fractional coordinates of all 16 atoms:
Br (0.5095, 0.2162, 0.0997)  1 Ga 2.37
Br (0.4757, 0.2838, 0.5997)  1 Ga 2.37
Br (0.3908, 0.7838, 0.0997)  1 Ga 2.37
Br (0.2743, 0.2162, 0.9003)  1 Ga 2.37
Br (0.3592, 0.7162, 0.4003)  1 Ga 2.37
Br (0.8254, 0.7838, 0.9003)  1 Ga 2.37
Br (0.2405, 0.2838, 0.4003)  1 Ga 2.37
Br (0.9246, 0.7162, 0.5997)  1 Ga 2.37
Tl (0.0000, 0.0000, 0.0000)  4 Br 3.36, 2 Hg 3.74
Tl (0.7500, 0.5000, 0.5000)  4 Br 3.36, 2 Hg 3.74
Hg (0.8607, 0.0000, 0.2787)  1 Tl 3.74, 2 Hg 3.86, 2 Br 3.91
Hg (0.6107, 0.5000, 0.7787)  1 Tl 3.74, 2 Hg 3.86, 2 Br 3.91
Hg (0.8893, 0.5000, 0.2213)  1 Tl 3.74, 2 Hg 3.86, 2 Br 3.91
Hg (0.1393, 0.0000, 0.7213)  1 Tl 3.74, 2 Hg 3.86, 2 Br 3.91
Ga (0.5000, 0.0000, 0.0000)  4 Br 2.37
Ga (0.2500, 0.5000, 0.5000)  4 Br 2.37

Raw formation energy in meV/atom: -613
SG: Fddd, No. 70
Crystal system: orthorhombic

=====

(8)
The following is a PBE calculation of a relaxed Ga2HgWBr crystal, from Alexandria.

a b c (Å): 5.5860 4.7355 5.5860
angles (deg): 90.00 90.00 90.00
Closest atoms and distances in Å follow each position.
Fractional coordinates of all 5 atoms:
Hg (0.5000, 0.5000, 0.5000)  8 Ga 3.66, 4 W 3.95
Ga (0.0000, 0.0000, 0.5000)  2 Br 2.79
Ga (0.5000, 0.0000, 0.0000)  2 Br 2.79
Br (0.0000, 0.0000, 0.0000)  2 W 2.37
W (0.0000, 0.5000, 0.0000)  2 Br 2.37

Raw formation energy in meV/atom: 1323
SG: P4/mmm, No. 123
Crystal system: tetragonal